(1)
VASP calculation (SCAN) on a crystal of SmGa3 relaxed with PBEsol.

Values from the calculation:
VASP energy: -24.04 eV/atom
volume: 19.2 A^3/atom

Cell: 6.2874 6.2874 4.4914 Å, 90.00 90.00 120.00°
Fractional coordinates of all 8 atoms:
Sm: 0.3333 0.6667 0.2500
Sm: 0.6667 0.3333 0.7500
Ga: 0.1448 0.2895 0.7500
Ga: 0.1448 0.8552 0.7500
Ga: 0.2895 0.1448 0.2500
Ga: 0.7105 0.8552 0.7500
Ga: 0.8552 0.1448 0.2500
Ga: 0.8552 0.7105 0.2500

***

(2)
VASP calculation (SCAN) on a crystal of Sm5Ga3 relaxed with PBEsol.

Values from the calculation:
VASP energy: -34.46 eV/atom
volume: 25.8 A^3/atom

Cell: 8.9381 8.9381 8.9381 Å, 129.59 129.59 74.07°
Fractional coordinates of all 16 atoms:
Sm: 0.0000 0.0000 0.0000
Sm: 0.0237 0.5237 0.8465
Sm: 0.1772 0.0237 0.5000
Sm: 0.3228 0.8228 0.8465
Sm: 0.4763 0.3228 0.5000
Sm: 0.5000 0.5000 0.0000
Sm: 0.5237 0.6772 0.5000
Sm: 0.6772 0.1772 0.1535
Sm: 0.8228 0.9763 0.5000
Sm: 0.9763 0.4763 0.1535
Ga: 0.1181 0.3819 0.5000
Ga: 0.2500 0.2500 0.0000
Ga: 0.3819 0.8819 0.2638
Ga: 0.6181 0.1181 0.7362
Ga: 0.7500 0.7500 0.0000
Ga: 0.8819 0.6181 0.5000

***

(3)
VASP calculation (SCAN) on a crystal of Sm3Ga2Sn3 relaxed with PBEsol.

Values from the calculation:
VASP energy: -35.02 eV/atom
volume: 24.0 A^3/atom

Cell: 6.2997 6.2997 9.9184 Å, 90.00 90.00 77.54°
Fractional coordinates of all 16 atoms:
Sm: 0.1333 0.8667 0.7500
Sm: 0.2976 0.2976 0.0000
Sm: 0.2976 0.2976 0.5000
Sm: 0.7024 0.7024 0.0000
Sm: 0.7024 0.7024 0.5000
Sm: 0.8667 0.1333 0.2500
Ga: 0.1838 0.8162 0.0425
Ga: 0.1838 0.8162 0.4575
Ga: 0.8162 0.1838 0.5425
Ga: 0.8162 0.1838 0.9575
Sn: 0.0072 0.5875 0.2500
Sn: 0.4125 0.9928 0.2500
Sn: 0.4793 0.5207 0.2500
Sn: 0.5207 0.4793 0.7500
Sn: 0.5875 0.0072 0.7500
Sn: 0.9928 0.4125 0.7500

***

(4)
VASP calculation (SCAN) on a crystal of SmZnGa relaxed with PBEsol.

Values from the calculation:
VASP energy: -25.44 eV/atom
volume: 20.4 A^3/atom

Cell: 4.3857 4.3857 7.3320 Å, 90.00 90.00 120.00°
Fractional coordinates of all 6 atoms:
Sm: 0.0000 0.0000 0.0000
Sm: 0.0000 0.0000 0.5000
Zn: 0.3333 0.6667 0.2500
Zn: 0.6667 0.3333 0.7500
Ga: 0.3333 0.6667 0.7500
Ga: 0.6667 0.3333 0.2500

***

(5)
VASP calculation (SCAN) on a crystal of SmZn2Ga2 relaxed with PBEsol.

Values from the calculation:
VASP energy: -21.43 eV/atom
volume: 17.9 A^3/atom

Cell: 6.0201 6.0201 6.0201 Å, 139.99 139.99 57.87°
Fractional coordinates of all 5 atoms:
Sm: 0.0000 0.0000 0.0000
Zn: 0.2500 0.7500 0.5000
Zn: 0.7500 0.2500 0.5000
Ga: 0.3851 0.3851 0.0000
Ga: 0.6149 0.6149 0.0000

***

(6)
VASP calculation (SCAN) on a crystal of Ga6SnTe10 relaxed with PBEsol.

Values from the calculation:
volume: 30.7 A^3/atom
energy relative to the elements, uncorrected: -29.9 kJ per mole of atoms

Cell: 10.1373 10.1373 10.1482 Å, 90.06 90.06 89.71°
Fractional coordinates of all 34 atoms:
Ga: 0.0412 0.0412 0.3356
Ga: 0.1207 0.3868 0.2558
Ga: 0.2033 0.3758 0.8819
Ga: 0.3525 0.0885 0.1623
Ga: 0.4354 0.4778 0.1724
Ga: 0.5222 0.5646 0.8276
Ga: 0.6132 0.8793 0.7442
Ga: 0.6242 0.7967 0.1181
Ga: 0.6576 0.0606 0.4232
Ga: 0.9115 0.6475 0.8377
Ga: 0.9394 0.3424 0.5768
Ga: 0.9588 0.9588 0.6644
Sn: 0.5151 0.2105 0.7518
Sn: 0.7895 0.4849 0.2482
Te: 0.0248 0.5446 0.4380
Te: 0.1115 0.7679 0.7364
Te: 0.1129 0.1495 0.5689
Te: 0.2059 0.5559 0.0710
Te: 0.2321 0.8885 0.2636
Te: 0.2681 0.1274 0.9187
Te: 0.3416 0.4562 0.6772
Te: 0.3525 0.2886 0.3330
Te: 0.4441 0.7941 0.9290
Te: 0.4554 0.9752 0.5620
Te: 0.5438 0.6584 0.3228
Te: 0.6077 0.3923 0.0000
Te: 0.6142 0.0566 0.1636
Te: 0.6930 0.3070 0.5000
Te: 0.7114 0.6475 0.6670
Te: 0.7875 0.0404 0.8385
Te: 0.8505 0.8871 0.4311
Te: 0.8726 0.7319 0.0813
Te: 0.9434 0.3858 0.8364
Te: 0.9596 0.2125 0.1615

***

(7)
VASP calculation (SCAN) on a crystal of Ga2SnTe relaxed with PBEsol.

Values from the calculation:
volume: 22.9 A^3/atom
energy relative to the elements, uncorrected: 21.5 kJ per mole of atoms

Cell: 5.0628 5.0628 5.0628 Å, 60.00 60.00 60.00°
Fractional coordinates of all 4 atoms:
Ga: 0.2500 0.2500 0.2500
Ga: 0.7500 0.7500 0.7500
Sn: 0.0000 0.0000 0.0000
Te: 0.5000 0.5000 0.5000

***

(8)
VASP calculation (SCAN) on a crystal of Ga2SnTe relaxed with PBEsol.

Values from the calculation:
volume: 29.4 A^3/atom
energy relative to the elements, uncorrected: -13.5 kJ per mole of atoms

Cell: 7.5838 7.5838 7.5838 Å, 132.08 132.08 70.10°
Fractional coordinates of all 8 atoms:
Ga: 0.1079 0.6250 0.9829
Ga: 0.3750 0.3579 0.4829
Ga: 0.6421 0.1250 0.0171
Ga: 0.8750 0.8921 0.5171
Sn: 0.0000 0.0000 0.0000
Sn: 0.7500 0.2500 0.5000
Te: 0.2500 0.7500 0.5000
Te: 0.5000 0.5000 0.0000

***

(9)
VASP calculation (SCAN) on a crystal of Ga2Sn2Te relaxed with PBEsol.

Values from the calculation:
volume: 24.0 A^3/atom
energy relative to the elements, uncorrected: 9.5 kJ per mole of atoms

Cell: 8.5668 8.5668 8.5668 Å, 154.05 154.05 37.03°
Fractional coordinates of all 5 atoms:
Ga: 0.2500 0.7500 0.5000
Ga: 0.7500 0.2500 0.5000
Sn: 0.1109 0.1109 0.0000
Sn: 0.8891 0.8891 0.0000
Te: 0.5000 0.5000 0.0000

***

(10)
VASP calculation (SCAN) on a crystal of Ti2Ga2Sn relaxed with PBEsol.

Values from the calculation:
VASP energy: -20.28 eV/atom
volume: 17.9 A^3/atom

Cell: 7.0308 7.0308 7.0308 Å, 149.50 149.50 43.67°
Fractional coordinates of all 5 atoms:
Ti: 0.0953 0.0953 0.0000
Ti: 0.9047 0.9047 0.0000
Ga: 0.2500 0.7500 0.5000
Ga: 0.7500 0.2500 0.5000
Sn: 0.5000 0.5000 0.0000

***

(11)
VASP calculation (SCAN) on a crystal of Tl2GaSn relaxed with PBEsol.

Values from the calculation:
VASP energy: -49.06 eV/atom
volume: 25.7 A^3/atom

Cell: 5.2592 5.2592 5.2592 Å, 60.00 60.00 60.00°
Fractional coordinates of all 4 atoms:
Tl: 0.2500 0.2500 0.2500
Tl: 0.7500 0.7500 0.7500
Ga: 0.0000 0.0000 0.0000
Sn: 0.5000 0.5000 0.5000

***

(12)
VASP calculation (SCAN) on a crystal of TlGaSn2 relaxed with PBEsol.

Values from the calculation:
VASP energy: -39.90 eV/atom
volume: 24.7 A^3/atom

Cell: 5.1887 5.1887 5.1887 Å, 60.00 60.00 60.00°
Fractional coordinates of all 4 atoms:
Tl: 0.0000 0.0000 0.0000
Ga: 0.5000 0.5000 0.5000
Sn: 0.2500 0.2500 0.2500
Sn: 0.7500 0.7500 0.7500